w) # Cu2AsCl6 (PBE, optimized geometry)
data_Cu2AsCl6
_chemical_formula_sum 'Cu4 As2 Cl12'
_cell_length_a 9.530
_cell_length_b 9.530
_cell_length_c 7.059
_cell_angle_alpha 107.45
_cell_angle_beta 107.45
_cell_angle_gamma 84.34
_symmetry_space_group_name_H-M 'P 1'
_symmetry_Int_Tables_number 1
loop_
_symmetry_equiv_pos_as_xyz
'x,y,z'
loop_
_atom_site_label
_atom_site_type_symbol
_atom_site_fract_x
_atom_site_fract_y
_atom_site_fract_z
_atom_site_occupancy
Cu1 Cu 0.193 0.256 0.304 1
Cu2 Cu 0.256 0.193 0.804 1
Cu3 Cu 0.744 0.807 0.196 1
Cu4 Cu 0.807 0.744 0.696 1
As1 As 0.395 0.605 0.750 1
As2 As 0.605 0.395 0.250 1
Cl1 Cl 0.119 0.141 0.967 1
Cl2 Cl 0.141 0.119 0.467 1
Cl3 Cl 0.182 0.613 0.815 1
Cl4 Cl 0.287 0.472 0.358 1
Cl5 Cl 0.387 0.818 0.685 1
Cl6 Cl 0.472 0.287 0.858 1
Cl7 Cl 0.528 0.713 0.142 1
Cl8 Cl 0.613 0.182 0.315 1
Cl9 Cl 0.713 0.528 0.642 1
Cl10 Cl 0.818 0.387 0.185 1
Cl11 Cl 0.859 0.881 0.533 1
Cl12 Cl 0.881 0.859 0.033 1
# Symmetry: C2/c (15)
# V in Å³/cell: 583.3

=====

x) # Cu2AsCl6 (PBE, optimized geometry)
data_Cu2AsCl6
_chemical_formula_sum 'Cu4 As2 Cl12'
_cell_length_a 8.979
_cell_length_b 8.979
_cell_length_c 6.347
_cell_angle_alpha 98.37
_cell_angle_beta 98.37
_cell_angle_gamma 81.86
_symmetry_space_group_name_H-M 'P 1'
_symmetry_Int_Tables_number 1
loop_
_symmetry_equiv_pos_as_xyz
'x,y,z'
loop_
_atom_site_label
_atom_site_type_symbol
_atom_site_fract_x
_atom_site_fract_y
_atom_site_fract_z
_atom_site_occupancy
Cu1 Cu 0.000 0.186 0.170 1
Cu2 Cu 0.000 0.814 0.830 1
Cu3 Cu 0.186 0.000 0.670 1
Cu4 Cu 0.814 0.000 0.330 1
As1 As 0.418 0.582 0.750 1
As2 As 0.582 0.418 0.250 1
Cl1 Cl 0.036 0.189 0.534 1
Cl2 Cl 0.156 0.605 0.868 1
Cl3 Cl 0.189 0.036 0.034 1
Cl4 Cl 0.324 0.461 0.380 1
Cl5 Cl 0.395 0.844 0.632 1
Cl6 Cl 0.461 0.324 0.880 1
Cl7 Cl 0.539 0.676 0.120 1
Cl8 Cl 0.605 0.156 0.368 1
Cl9 Cl 0.676 0.539 0.620 1
Cl10 Cl 0.811 0.964 0.966 1
Cl11 Cl 0.844 0.395 0.132 1
Cl12 Cl 0.964 0.811 0.466 1
# Symmetry: C2/c (15)
# V in Å³/cell: 497.1

=====

Quick ranking, most stable first: w), x).